Record 1
VASP calculation (PBEsol) on a relaxed CaCu2P crystal.

a = 3.355 Å, b = 3.355 Å, c = 5.774 Å
α = 90.00°, β = 90.00°, γ = 90.00°
Positions (direct):
Cu (0.000, 0.000, 0.203)
P (0.500, 0.500, 0.000)
Ca (0.500, 0.500, 0.500)
Cu (0.000, 0.000, 0.797)

Calculated values
As for the energy of formation from the pure elements: 40 meV per atom. As for the space-group type: P4/mmm.

---

Record 2
VASP calculation (PBEsol) on a relaxed CaCuP crystal.

a = 3.980 Å, b = 3.980 Å, c = 7.809 Å
α = 90.00°, β = 90.00°, γ = 120.00°
Positions (direct):
Cu (0.333, 0.667, 0.250)
P (0.333, 0.667, 0.750)
Ca (0.000, 0.000, 0.000)
Cu (0.667, 0.333, 0.750)
Ca (0.000, 0.000, 0.500)
P (0.667, 0.333, 0.250)

Calculated values
As for the energy of formation from the pure elements: -886 meV per atom. As for the space-group type: P6_3/mmc.

---

Record 3
VASP calculation (PBEsol) on a relaxed Ca4CuP crystal.

a = 6.223 Å, b = 6.223 Å, c = 6.223 Å
α = 60.00°, β = 60.00°, γ = 60.00°
Positions (direct):
Ca (0.374, 0.878, 0.374)
P (0.000, 0.000, 0.000)
Ca (0.374, 0.374, 0.878)
Ca (0.374, 0.374, 0.374)
Cu (0.750, 0.750, 0.750)
Ca (0.878, 0.374, 0.374)

Calculated values
As for the energy of formation from the pure elements: 603 meV per atom. As for the space-group type: F-43m.

---

Record 4
VASP calculation (PBEsol) on a relaxed Ca2CuP crystal.

a = 4.050 Å, b = 4.021 Å, c = 5.695 Å
α = 90.00°, β = 110.83°, γ = 90.00°
Positions (direct):
Cu (0.433, 0.500, 0.867)
Ca (0.737, 0.500, 0.473)
Ca (0.019, 0.000, 0.039)
P (0.310, 0.000, 0.621)

Calculated values
As for the energy of formation from the pure elements: -679 meV per atom. As for the space-group type: Amm2.

---

Record 5
VASP calculation (PBEsol) on a relaxed Ca2Zn2CuP3 crystal.

a = 3.987 Å, b = 3.987 Å, c = 21.198 Å
α = 90.00°, β = 90.00°, γ = 120.00°
Positions (direct):
Ca (0.000, 0.000, 0.841)
Cu (0.333, 0.667, 0.250)
Zn (0.667, 0.333, 0.458)
Zn (0.333, 0.667, 0.542)
Zn (0.667, 0.333, 0.042)
P (0.667, 0.333, 0.576)
Cu (0.667, 0.333, 0.750)
Ca (0.000, 0.000, 0.659)
P (0.333, 0.667, 0.424)
P (0.667, 0.333, 0.250)
P (0.667, 0.333, 0.924)
P (0.333, 0.667, 0.750)
Ca (0.000, 0.000, 0.159)
Zn (0.333, 0.667, 0.958)
Ca (0.000, 0.000, 0.341)
P (0.333, 0.667, 0.076)

Calculated values
As for the energy of formation from the pure elements: -776 meV per atom. As for the space-group type: P6_3/mmc.

---

Record 6
VASP calculation (PBEsol) on a relaxed Ca2Cu2Pb crystal.

a = 5.469 Å, b = 5.469 Å, c = 5.469 Å
α = 86.20°, β = 62.17°, γ = 117.83°
Positions (direct):
Pb (0.000, 0.000, 0.000)
Ca (0.500, 0.250, 0.250)
Ca (0.500, 0.750, 0.750)
Cu (0.000, 0.650, 0.350)
Cu (0.000, 0.350, 0.650)

Calculated values
As for the energy of formation from the pure elements: -91 meV per atom. As for the space-group type: I4/mmm.

---

Record 7
VASP calculation (PBEsol) on a relaxed Ca2CuPb crystal.

a = 4.513 Å, b = 4.513 Å, c = 5.859 Å
α = 112.65°, β = 112.65°, γ = 90.00°
Positions (direct):
Cu (0.500, 0.500, 0.000)
Ca (0.250, 0.750, 0.500)
Ca (0.000, 0.000, 0.000)
Pb (0.750, 0.250, 0.500)

Calculated values
As for the energy of formation from the pure elements: -117 meV per atom. As for the space-group type: I-4m2.

---

Record 8
VASP calculation (PBEsol) on a relaxed CaCuTe2Pd crystal.

a = 4.684 Å, b = 5.086 Å, c = 5.086 Å
α = 90.00°, β = 90.00°, γ = 90.00°
Positions (direct):
Te (0.000, 0.000, 0.500)
Te (0.000, 0.500, 0.000)
Ca (0.500, 0.500, 0.500)
Cu (0.000, 0.000, 0.000)
Pd (0.500, 0.000, 0.000)

Calculated values
As for the space-group type: P4/mmm. Its uncorrected formation energy is -0.257 eV/atom.

---

Electronic total energy values, unit eV/atom, following the record order: -4.11, -4.97, -2.51, -4.28, -4.42, -3.48, -3.27, -4.15.